PBE-GGA Nd5Mg6Sc, relaxed; E_form = -2.05 kcal/mol of atoms; crystal system = orthorhombic; Fermi-level density of states = 13.65 states/eV per cell
1.0
2.707 -8.139 0.000
2.707 8.139 0.000
0.000 0.000 7.716
Nd Mg Sc
5 6 1
direct
0.000 0.000 0.000
0.330 0.670 0.000
0.335 0.665 0.500
0.665 0.335 0.500
0.670 0.330 0.000
0.161 0.839 0.259
0.161 0.839 0.741
0.500 0.500 0.260
0.500 0.500 0.740
0.839 0.161 0.259
0.839 0.161 0.741
0.000 0.000 0.500